[1]
CrHgRu2 PBE-GGA relaxed; uncorrected energy = -6.621 eV/atom; DOS at the Fermi energy = 6.39 states/eV/f.u.
1.0
-1.949 1.949 4.037
1.949 -1.949 4.037
1.949 1.949 -4.037
Cr Hg Ru
1 1 2
Cartesian
0.000 0.000 0.000 Cr
1.949 0.000 2.019 Hg
0.000 0.000 4.037 Ru
0.000 1.949 2.019 Ru

=====

[2]
As2PtRh PBE-GGA relaxed; uncorrected energy = -5.747 eV/atom; DOS at the Fermi energy = 1.97 states/eV/f.u.; polymorph energy (0 for the lowest one) = 193 meV per atom
1.0
-1.574 2.238 4.658
1.574 -2.238 4.658
1.574 2.238 -4.658
As Pt Rh
2 1 1
Cartesian
0.000 0.000 0.000 As
0.000 2.238 2.074 As
1.574 0.000 2.127 Pt
0.000 0.000 4.724 Rh

=====

[3]
Rb2SrSnSe4 PBE-GGA relaxed; raw formation energy = -1.049 eV per atom; uncorrected energy = -3.743 eV/atom; DOS at the Fermi energy = 0.71 states/eV/f.u.
1.0
-4.372 4.684 6.391
4.372 -4.684 6.391
4.372 4.684 -6.391
Rb Sr Sn Se
4 2 2 8
Cartesian
0.000 0.000 0.000 Rb
-2.186 2.342 3.195 Rb
0.000 4.684 0.000 Rb
2.186 2.342 3.195 Rb
4.372 0.000 0.000 Sr
0.000 0.000 6.391 Sr
2.186 2.342 -3.195 Sn
2.186 -2.342 3.195 Sn
4.372 -0.433 3.119 Se
4.372 4.251 -3.119 Se
2.318 2.342 -0.458 Se
6.425 2.342 -0.458 Se
-2.054 2.342 6.849 Se
2.054 2.342 6.849 Se
0.000 0.433 9.509 Se
0.000 5.117 3.272 Se

=====

[4]
Y4SbTe3 PBE-GGA relaxed; raw formation energy = -1.310 eV per atom; uncorrected energy = -6.235 eV/atom; DOS at the Fermi energy = 1.99 states/eV/f.u.
1.0
6.177 0.000 0.000
0.000 6.177 0.000
0.000 0.000 6.177
Y Sb Te
4 1 3
Cartesian
0.000 0.000 0.000 Y
0.000 3.088 3.088 Y
3.088 0.000 3.088 Y
3.088 3.088 0.000 Y
3.088 3.088 3.088 Sb
0.000 0.000 3.088 Te
0.000 3.088 0.000 Te
3.088 0.000 0.000 Te

=====

[5]
HfCuW3 PBE-GGA relaxed; uncorrected energy = -9.085 eV/atom; DOS at the Fermi energy = 7.66 states/eV/f.u.; polymorph energy (0 for the lowest one) = 0 meV per atom
1.0
4.550 0.000 0.000
0.000 4.550 0.000
0.000 0.000 4.550
Hf Cu W
1 1 3
Cartesian
0.000 0.000 0.000 Hf
2.275 2.275 2.275 Cu
0.000 2.275 2.275 W
2.275 0.000 2.275 W
2.275 2.275 0.000 W

=====

[6]
Ni2AgGeIr PBE-GGA relaxed; uncorrected energy = -3.950 eV/atom; DOS at the Fermi energy = 7.68 states/eV/f.u.
1.0
4.535 0.000 0.000
0.000 4.535 0.000
0.000 0.000 4.929
Ni Ag Ge Ir
2 1 1 1
Cartesian
0.000 2.268 0.000 Ni
2.268 0.000 0.000 Ni
0.000 0.000 0.000 Ag
2.268 2.268 2.464 Ge
0.000 0.000 2.464 Ir

=====

[7]
CsHf2Ru PBE-GGA relaxed; uncorrected energy = -6.430 eV/atom; DOS at the Fermi energy = 6.62 states/eV/f.u.; polymorph energy (0 for the lowest one) = 56 meV per atom
1.0
-3.303 3.303 7.354
3.303 -3.303 7.354
3.303 3.303 -7.354
Cs Hf Ru
2 4 2
Cartesian
3.303 1.651 1.838 Cs
0.000 1.651 5.515 Cs
0.000 0.000 0.000 Hf
1.651 1.651 -3.677 Hf
1.651 -1.651 3.677 Hf
0.000 3.303 0.000 Hf
3.303 -1.651 5.515 Ru
0.000 4.954 1.838 Ru

=====

[8]
Ca2RuI PBE-GGA relaxed; raw formation energy = 0.092 eV per atom; uncorrected energy = -3.615 eV/atom; DOS at the Fermi energy = 2.55 states/eV/f.u.; polymorph energy (0 for the lowest one) = 62 meV per atom
1.0
-4.048 4.048 3.329
4.048 -4.048 3.329
4.048 4.048 -3.329
Ca Ru I
4 2 2
Cartesian
6.073 1.575 -0.832 Ca
1.575 2.024 0.832 Ca
-2.024 2.474 2.497 Ca
2.474 2.024 4.161 Ca
0.000 0.000 0.000 Ru
0.000 4.048 1.664 Ru
4.048 0.000 1.664 I
0.000 0.000 3.329 I

=====

[9]
Ta2AsAu PBE-GGA relaxed; uncorrected energy = -7.770 eV/atom; DOS at the Fermi energy = 0.78 states/eV/f.u.; polymorph energy (0 for the lowest one) = 226 meV per atom
1.0
-3.601 3.601 2.880
3.601 -3.601 2.880
3.601 3.601 -2.880
Ta As Au
4 2 2
Cartesian
1.800 1.667 -0.720 Ta
1.934 -1.800 3.600 Ta
1.800 1.934 2.160 Ta
1.667 5.401 0.720 Ta
0.000 0.000 0.000 As
0.000 3.601 1.440 As
3.601 0.000 1.440 Au
0.000 0.000 2.880 Au

=====

[10]
SiBBr2 PBE-GGA relaxed; raw formation energy = 1.215 eV per atom; uncorrected energy = -2.647 eV/atom; DOS at the Fermi energy = 1.50 states/eV/f.u.; polymorph energy (0 for the lowest one) = 219 meV per atom
1.0
0.000 3.440 3.440
3.440 0.000 3.440
3.440 3.440 0.000
Si B Br
1 1 2
Cartesian
0.000 0.000 0.000 Si
3.440 3.440 3.440 B
1.720 1.720 1.720 Br
5.160 5.160 5.160 Br

=====

[11]
Ag2SnW PBE-GGA relaxed; uncorrected energy = -4.769 eV/atom; DOS at the Fermi energy = 1.66 states/eV/f.u.
1.0
-3.796 3.796 2.774
3.796 -3.796 2.774
3.796 3.796 -2.774
Ag Sn W
4 2 2
Cartesian
5.693 1.875 -0.693 Ag
1.875 1.898 0.693 Ag
-1.898 1.920 2.080 Ag
1.920 1.898 3.467 Ag
3.796 0.000 1.387 Sn
0.000 0.000 2.774 Sn
0.000 0.000 0.000 W
0.000 3.796 1.387 W

=====

[12]
Er12TmTl3 PBE-GGA relaxed; uncorrected energy = -4.265 eV/atom; DOS at the Fermi energy = 20.04 states/eV/f.u.
1.0
4.823 0.000 0.000
0.000 4.823 0.000
0.000 0.000 19.627
Er Tm Tl
12 1 3
Cartesian
0.000 0.000 0.000 Er
0.000 0.000 4.823 Er
0.000 0.000 9.813 Er
0.000 0.000 14.804 Er
0.000 2.412 2.413 Er
0.000 2.412 7.285 Er
0.000 2.412 12.342 Er
0.000 2.412 17.214 Er
2.412 0.000 2.413 Er
2.412 0.000 7.285 Er
2.412 0.000 12.342 Er
2.412 0.000 17.214 Er
2.412 2.412 9.813 Tm
2.412 2.412 0.000 Tl
2.412 2.412 4.788 Tl
2.412 2.412 14.838 Tl

=====

Q: Number 7 is which compound?
A: CsHf2Ru

=====

Q: Look up the DOS at the Fermi energy of the eighth one.
A: 2.55 states/eV/f.u.

=====

Please write out number 9 again, unchanged.
Ta2AsAu PBE-GGA relaxed; uncorrected energy = -7.770 eV/atom; DOS at the Fermi energy = 0.78 states/eV/f.u.; polymorph energy (0 for the lowest one) = 226 meV per atom
1.0
-3.601 3.601 2.880
3.601 -3.601 2.880
3.601 3.601 -2.880
Ta As Au
4 2 2
Cartesian
1.800 1.667 -0.720 Ta
1.934 -1.800 3.600 Ta
1.800 1.934 2.160 Ta
1.667 5.401 0.720 Ta
0.000 0.000 0.000 As
0.000 3.601 1.440 As
3.601 0.000 1.440 Au
0.000 0.000 2.880 Au

=====

Q: What is the DOS at the Fermi energy in the eleventh record?
A: 1.66 states/eV/f.u.